1.
AgHgRu2 | Alexandria | GGA-PBE | relaxed; density = 12.7 Mg/m³; E_form = 2.37 eV per formula unit; DFT total energy = -4.83 eV per atom
1.0
5.0755 0.0086 -0.0132
4.2661 2.7497 -0.0132
0.8346 0.2464 4.7759
Ru Ag Hg
2 1 1
Direct
0.0001 0.0001 0.0098
0.4999 0.4999 0.4902
0.2500 0.2500 0.2500
0.7500 0.7500 0.7500


2.
Ag2HgRu | Alexandria | GGA-PBE | relaxed; density = 12.2 Mg/m³; E_form = 1.55 eV per formula unit; DFT total energy = -3.43 eV per atom
1.0
-4.7252 -8.3077 1.8039
-2.0150 -9.2080 2.3983
-3.5900 -7.8658 4.4543
Ag Hg Ru
2 1 1
Direct
0.0019 0.0019 0.0019
0.2522 0.2522 0.2522
0.4975 0.4975 0.4975
0.7484 0.7484 0.7484


3.
AgHgRu2 | Alexandria | GGA-PBE | relaxed; density = 12.5 Mg/m³; E_form = 2.84 eV per formula unit; DFT total energy = -4.72 eV per atom
1.0
2.8039 -0.0044 0.0000
-1.3385 2.4637 0.0000
0.0000 0.0000 9.7992
Ru Hg Ag
2 1 1
Direct
0.0000 0.0000 0.0024
0.0000 0.0000 0.4976
0.5000 0.5000 0.7500
0.5000 0.5000 0.2500


4.
AgHgRu2 | Alexandria | GGA-PBE | relaxed; density = 12.6 Mg/m³; E_form = 1.37 eV per formula unit; DFT total energy = -5.08 eV per atom
1.0
-2.9875 -6.9311 -6.0354
-4.5102 -7.6837 -3.7432
-5.5096 -5.6970 -5.5301
Ru Ag Hg
2 1 1
Direct
0.2567 0.2567 0.2567
0.9916 0.9916 0.9916
0.5054 0.5054 0.5054
0.7464 0.7464 0.7464


5.
Ag2HgRu2 | Alexandria | GGA-PBE | relaxed; density = 11.0 Mg/m³; E_form = 4.29 eV per formula unit; DFT total energy = -4.05 eV per atom
1.0
0.0090 -1.2238 6.8230
-4.4508 -3.0400 4.3590
3.4279 -0.2501 -6.0199
Ru Ag Hg
2 2 1
Direct
0.5913 0.5913 0.0000
0.4087 0.4087 0.0000
0.2500 0.7500 0.5000
0.7500 0.2500 0.5000
0.0000 0.0000 0.0000


6.
AgHgRu2 | Alexandria | GGA-PBE | relaxed; density = 12.5 Mg/m³; E_form = 3.12 eV per formula unit; DFT total energy = -4.65 eV per atom
1.0
-3.3016 -0.7184 -0.4477
0.8333 -2.4420 -2.2270
0.2541 -3.8757 4.3450
Ru Ag Hg
2 1 1
Direct
0.0000 0.0000 0.4908
0.0000 0.0000 0.0092
0.5000 0.5000 0.2500
0.5000 0.5000 0.7500


7.
Ag2HgRu | Alexandria | GGA-PBE | relaxed; density = 11.0 Mg/m³; E_form = 2.75 eV per formula unit; DFT total energy = -3.13 eV per atom
1.0
3.9375 0.0000 0.0000
0.0000 3.9375 0.0000
1.9688 1.9688 10.0473
Ag Hg Ru
4 2 2
Direct
0.1309 0.6250 0.2500
0.3750 0.3809 0.7500
0.6191 0.1250 0.2500
0.8750 0.8691 0.7500
0.0000 0.0000 0.0000
0.7500 0.2500 0.5000
0.5000 0.5000 0.0000
0.2500 0.7500 0.5000


8.
AgHgRu2 | Alexandria | GGA-PBE | relaxed; density = 12.6 Mg/m³; E_form = 2.60 eV per formula unit; DFT total energy = -4.78 eV per atom
1.0
2.8944 0.0000 0.0000
0.0000 4.7431 0.0000
0.0000 0.0000 4.8907
Ag Hg Ru
1 1 2
Direct
0.5000 0.0000 0.5000
0.0000 0.5000 0.5000
0.0000 0.0000 0.0000
0.5000 0.5000 0.0000


9.
Ag2HgRu | Alexandria | GGA-PBE | relaxed; density = 12.2 Mg/m³; E_form = 1.81 eV per formula unit; DFT total energy = -3.37 eV per atom
1.0
5.0322 0.0024 0.0012
4.2290 2.7273 0.0012
0.7771 0.2291 5.1468
Ag Ru Hg
2 1 1
Direct
0.2517 0.2517 0.2361
0.0041 0.0041 0.0047
0.7484 0.7484 0.7414
0.4959 0.4959 0.5178


10.
AgHg3Ru | Alexandria | GGA-PBE | relaxed; density = 9.5 Mg/m³; E_form = 3.63 eV per formula unit; DFT total energy = -1.88 eV per atom
1.0
-1.9886 0.7558 -4.7692
-4.7999 -0.8723 1.8632
-0.5269 5.0931 1.0268
Ru Ag Hg
1 1 3
Direct
0.0000 0.0000 0.0000
0.5000 0.5000 0.5000
0.0000 0.0000 0.5000
0.5000 0.0000 0.0000
0.0000 0.5000 0.0000


11.
Ag2HgRu | Alexandria | GGA-PBE | relaxed; density = 12.1 Mg/m³; E_form = 1.98 eV per formula unit; DFT total energy = -3.33 eV per atom
1.0
-1.6683 0.2614 -5.4486
3.9242 -0.0562 -4.1397
-2.6112 -2.5340 4.3931
Ru Ag Hg
1 2 1
Direct
0.2498 0.7498 0.5000
0.0037 0.0037 0.0000
0.7512 0.2512 0.5000
0.4952 0.4952 0.0000


12.
Ag2HgRu | Alexandria | GGA-PBE | relaxed; density = 12.1 Mg/m³; E_form = 1.96 eV per formula unit; DFT total energy = -3.33 eV per atom
1.0
-1.4436 4.8105 0.8105
-4.9369 0.1610 1.2175
3.8769 -2.7548 1.8060
Ag Hg Ru
2 1 1
Direct
0.0000 0.0000 0.0000
0.5000 0.5000 0.0000
0.2500 0.7500 0.5000
0.7500 0.2500 0.5000